# 1
First-principles (GGA-PBE) data for a relaxed SnHPd3 crystal, as listed in Alexandria via LeMat-Bulk.

Output
M_tot: 0.00 μB per atom
DOS(E_F): 8.7 states/eV per cell
Volume: 296.7 Å³/cell
VASP energy: -95.370 eV/cell

abc: 5.573 9.082 5.862
angles: 90.00 90.00 90.00
Space group Cmcm (No. 63)
One atom of each set of equivalent atoms:
Sn 0.000 0.005 0.250 (multiplicity 4)
H 0.000 0.370 0.750 (multiplicity 4)
Pd 0.000 0.500 0.000 (multiplicity 4)
Pd 0.246 0.256 0.250 (multiplicity 8)

# 2
First-principles (GGA-PBE) data for a relaxed Pm4Ag2Pt crystal, as listed in Alexandria via LeMat-Bulk.

Output
M_tot: 0.00 μB per atom
DOS(E_F): 25.4 states/eV per cell
Volume: 584.7 Å³/cell
VASP energy: -100.078 eV/cell

abc: 5.1592 5.1592 25.3644
angles: 90.00 90.00 120.00
Space group R-3m (No. 166, hexagonal axes)
One atom of each set of equivalent atoms:
Pm 0.0000 0.0000 0.1218 (multiplicity 6)
Pm 0.0000 0.0000 0.3721 (multiplicity 6)
Ag 0.0000 0.0000 0.2446 (multiplicity 6)
Pt 0.0000 0.0000 0.0000 (multiplicity 3)

# 3
First-principles (GGA-PBE) data for a relaxed Rb2LiPdBr6 crystal, as listed in Alexandria via LeMat-Bulk.

Output
M_tot: 0.00 μB per atom
Formation energy (no corrections): -1077 meV per atom
DOS(E_F): 17.3 states/eV per cell
Volume: 1212.3 Å³/cell
VASP energy: -119.388 eV/cell

abc: 10.663 10.663 10.663
angles: 90.00 90.00 90.00
Space group Fm-3m (No. 225)
One atom of each set of equivalent atoms:
Rb 0.250 0.250 0.250 (multiplicity 8)
Li 0.000 0.000 0.000 (multiplicity 4)
Pd 0.000 0.000 0.500 (multiplicity 4)
Br 0.000 0.000 0.258 (multiplicity 24)

# 4
First-principles (GGA-PBE) data for a relaxed ZnGaPt crystal, as listed in Alexandria via LeMat-Bulk.

Output
M_tot: 0.00 μB per atom
DOS(E_F): 1.5 states/eV per cell
Volume: 107.6 Å³/cell
VASP energy: -23.656 eV/cell

abc: 4.238 4.238 5.990
angles: 90.00 90.00 90.00
Space group P4/nmm (No. 129, origin choice 2)
One atom of each set of equivalent atoms:
Zn 0.250 0.750 0.000 (multiplicity 2)
Ga 0.250 0.750 0.500 (multiplicity 2)
Pt 0.250 0.250 0.260 (multiplicity 2)

# 5
First-principles (GGA-PBE) data for a relaxed ScSnSN2 crystal, as listed in Alexandria via LeMat-Bulk.

Output
M_tot: 0.09 μB per atom
Formation energy (no corrections): 440 meV per atom
DOS(E_F): 1.3 states/eV per cell
Volume: 83.9 Å³/cell
VASP energy: -28.912 eV/cell

abc: 4.041 4.041 5.137
angles: 90.00 90.00 90.00
Space group P4/mmm (No. 123)
One atom of each set of equivalent atoms:
Sc 0.000 0.000 0.000 (multiplicity 1)
Sn 0.500 0.500 0.500 (multiplicity 1)
S 0.500 0.500 0.000 (multiplicity 1)
N 0.000 0.500 0.500 (multiplicity 2)

# 6
First-principles (GGA-PBE) data for a relaxed RbZrTe3 crystal, as listed in Alexandria via LeMat-Bulk.

Output
M_tot: 0.01 μB per atom
Formation energy (no corrections): 1276 meV per atom
DOS(E_F): 13.1 states/eV per cell
Volume: 205.4 Å³/cell
VASP energy: -12.560 eV/cell

abc: 5.900 5.900 5.900
angles: 90.00 90.00 90.00
Space group Pm-3m (No. 221)
One atom of each set of equivalent atoms:
Rb 0.000 0.000 0.000 (multiplicity 1)
Zr 0.500 0.500 0.500 (multiplicity 1)
Te 0.000 0.000 0.500 (multiplicity 3)

# 7
First-principles (GGA-PBE) data for a relaxed La12TbHo7 crystal, as listed in Alexandria via LeMat-Bulk.

Output
M_tot: 0.00 μB per atom
DOS(E_F): 106.0 states/eV per cell
Volume: 2086.1 Å³/cell
VASP energy: -275.750 eV/cell

abc: 12.4845 12.4845 15.4550
angles: 90.00 90.00 120.00
Space group R-3 (No. 148, hexagonal axes)
One atom of each set of equivalent atoms:
La 0.0129 0.5746 0.2207 (multiplicity 18)
La 0.0663 0.4697 0.5780 (multiplicity 18)
Tb 0.0000 0.0000 0.5000 (multiplicity 3)
Ho 0.0000 0.0000 0.0000 (multiplicity 3)
Ho 0.0512 0.8675 0.3081 (multiplicity 18)

# 8
First-principles (GGA-PBE) data for a relaxed TlCoTe2 crystal, as listed in Alexandria via LeMat-Bulk.

Output
M_tot: 0.53 μB per atom
Formation energy (no corrections): 500 meV per atom
DOS(E_F): 10.2 states/eV per cell
Volume: 402.8 Å³/cell
VASP energy: -55.023 eV/cell

abc: 7.385 7.385 7.385
angles: 90.00 90.00 90.00
Space group Fm-3m (No. 225)
One atom of each set of equivalent atoms:
Tl 0.000 0.000 0.000 (multiplicity 4)
Co 0.000 0.000 0.500 (multiplicity 4)
Te 0.250 0.250 0.250 (multiplicity 8)